Entry 1:
The following is a DFT calculation (PBE) of Li2CoRe after structural relaxation.

Summary:
The total magnetic moment comes out at 2.97 μB per formula unit. The calculation puts the energy above the most stable polymorph in this dataset at 0.6676 eV per atom. Its energy relative to the elements is 0.848 eV/atom.

Geometry as POSCAR:
```
Li2CoRe
1.0
1.668 1.675 3.332
-2.369 1.072 3.151
0.160 -2.119 3.489
Co Li Re
1 2 1
Direct
0.000 0.000 0.000
0.750 0.750 0.750
0.250 0.250 0.250
0.500 0.500 0.500
```

=====

Entry 2:
The following is a DFT calculation (PBE) of Li2CoRe after structural relaxation.

Summary:
The total magnetic moment comes out at 2.14 μB per formula unit. The calculation puts the energy above the most stable polymorph in this dataset at 0.1238 eV per atom. Its energy relative to the elements is 0.304 eV/atom.

Geometry as POSCAR:
```
Li2CoRe
1.0
-1.157 8.428 -3.601
-0.405 7.186 -5.790
-2.928 7.151 -5.061
Co Li Re
1 2 1
Direct
0.750 0.750 0.750
0.003 0.003 0.003
0.497 0.497 0.497
0.250 0.250 0.250
```

=====

Entry 3:
The following is a DFT calculation (PBE) of Li2CoRe after structural relaxation.

Summary:
The total magnetic moment comes out at 0.00 μB per formula unit. The calculation puts the energy above the most stable polymorph in this dataset at 0.0155 eV per atom. Its energy relative to the elements is 0.196 eV/atom.

Geometry as POSCAR:
```
Li2CoRe
1.0
-1.279 1.664 -1.465
-2.966 -2.408 -0.146
-2.112 2.330 4.490
Co Li Re
1 2 1
Direct
0.500 0.500 0.708
0.500 0.500 0.237
0.000 0.000 0.012
0.000 0.000 0.543
```

=====

Entry 4:
The following is a DFT calculation (PBE) of Li2CoRe after structural relaxation.

Summary:
The total magnetic moment comes out at 0.00 μB per formula unit. The calculation puts the energy above the most stable polymorph in this dataset at 0.0000 eV per atom. Its energy relative to the elements is 0.180 eV/atom.

Geometry as POSCAR:
```
Li2CoRe
1.0
-3.355 -1.283 -1.651
1.342 -1.489 -1.570
0.414 -4.617 2.747
Re Li Co
1 2 1
Direct
0.000 0.529 0.554
0.500 0.204 0.221
0.000 0.817 0.017
0.500 0.950 0.708
```

=====

Entry 5:
The following is a DFT calculation (PBE) of Li2CoRe after structural relaxation.

Summary:
The total magnetic moment comes out at 0.00 μB per formula unit. The calculation puts the energy above the most stable polymorph in this dataset at 0.0384 eV per atom. Its energy relative to the elements is 0.219 eV/atom.

Geometry as POSCAR:
```
Li2CoRe
1.0
5.100 0.032 0.198
4.426 2.533 0.198
1.336 0.360 4.055
Li Re Co
2 1 1
Direct
0.515 0.515 0.487
0.985 0.985 0.013
0.750 0.750 0.750
0.250 0.250 0.250
```

=====

Entry 6:
The following is a DFT calculation (PBE) of LiCo3Re after structural relaxation.

Summary:
The total magnetic moment comes out at 2.91 μB per formula unit. The calculation puts the energy above the most stable polymorph in this dataset at 0.0000 eV per atom. Its energy relative to the elements is 0.958 eV/atom.

Geometry as POSCAR:
```
LiCo3Re
1.0
3.826 0.000 0.000
0.000 3.826 0.000
0.000 0.000 3.826
Re Li Co
1 1 3
Direct
0.500 0.500 0.500
0.000 0.000 0.000
0.500 0.000 0.000
0.000 0.500 0.000
0.000 0.000 0.500
```